# 1
## Ce2NdTh6 (GGA-PBE)

Data for an optimized crystal structure of Ce2NdTh6.

```
Ce2NdTh6
1.0
-2.925 -1.009 -1.662
2.987 0.420 -1.799
6.348 -25.824 4.504
Th Ce Nd
6 2 1
direct
0.667 0.333 0.223 Th
0.333 0.667 0.887 Th
0.667 0.333 0.438 Th
0.667 0.333 0.562 Th
0.333 0.667 0.113 Th
0.667 0.333 0.777 Th
0.333 0.667 0.670 Ce
0.333 0.667 0.330 Ce
0.667 0.333 0.000 Nd
```

---

# 2
## CeNdThZr (GGA-PBE)

Data for an optimized crystal structure of CeNdThZr.

```
CeNdThZr
1.0
-3.430 2.930 -3.153
-5.058 1.197 1.811
-1.274 5.172 1.388
Ce Th Nd Zr
1 1 1 1
direct
0.500 0.500 0.500 Ce
0.000 0.000 0.000 Th
0.750 0.750 0.750 Nd
0.250 0.250 0.250 Zr
```

---

# 3
## CeNdTi (GGA-PBE)

Data for an optimized crystal structure of CeNdTi.

```
CeNdTi
1.0
-1.570 1.457 2.855
-0.460 -3.248 1.405
11.200 0.883 5.709
Ce Ti Nd
2 2 2
direct
0.500 0.000 0.802 Ce
0.000 0.500 0.198 Ce
0.500 0.000 0.047 Ti
0.000 0.500 0.953 Ti
0.000 0.500 0.609 Nd
0.500 0.000 0.391 Nd
```

---

# 4
## CeNd2Tl (GGA-PBE)

Data for an optimized crystal structure of CeNd2Tl.

The distance to the lowest polymorph of the same formula comes out at 23.8 meV/atom.

```
CeNd2Tl
1.0
-0.072 2.286 2.882
-3.339 1.168 -1.009
-3.826 -6.538 5.090
Tl Nd Ce
1 2 1
direct
0.500 0.500 0.000 Tl
0.000 0.000 0.238 Nd
0.000 0.000 0.762 Nd
0.500 0.500 0.500 Ce
```

---

# 5
## CeNd5Tl6 (GGA-PBE)

Data for an optimized crystal structure of CeNd5Tl6.

```
CeNd5Tl6
1.0
-4.226 -1.584 3.194
-6.841 -6.186 -2.541
1.155 -9.363 1.674
Tl Nd Ce
6 5 1
direct
0.749 0.418 0.666 Tl
0.247 0.253 0.000 Tl
0.251 0.582 0.334 Tl
0.753 0.747 0.000 Tl
0.749 0.084 0.334 Tl
0.251 0.916 0.666 Tl
0.500 0.500 0.000 Nd
0.000 0.333 0.335 Nd
0.500 0.165 0.669 Nd
0.500 0.835 0.331 Nd
0.000 0.667 0.665 Nd
0.000 0.000 0.000 Ce
```

---

# 6
## CeNd4Tl7 (GGA-PBE)

Data for an optimized crystal structure of CeNd4Tl7.

```
CeNd4Tl7
1.0
5.852 0.000 0.000
2.926 9.909 -0.171
2.926 0.154 6.703
Nd Tl Ce
4 7 1
direct
0.588 0.218 0.606 Nd
0.412 0.782 0.394 Nd
0.730 0.665 0.874 Nd
0.270 0.335 0.126 Nd
0.920 0.318 0.842 Tl
0.783 0.900 0.534 Tl
0.632 0.462 0.274 Tl
0.368 0.538 0.726 Tl
0.080 0.682 0.158 Tl
0.500 0.000 0.000 Tl
0.217 0.100 0.466 Tl
0.000 0.000 0.000 Ce
```

---

| no. | total energy (eV/atom) | E_form (eV per atom) |
| --- | --- | --- |
| 1 | -6.684 | 0.1105 |
| 2 | -6.421 | 0.2461 |
| 3 | -6.054 | 0.1449 |
| 4 | -4.590 | -0.1315 |
| 5 | -4.021 | -0.3565 |
| 6 | -3.598 | -0.1337 |